P) A plane-wave DFT calculation with PBE was carried out for a geometry-optimized CaTbGaAu structure.

Calculated values
SG = F-43m, No. 216

Cell lengths 5.1246, 5.1246, 5.1246 Å; angles 60.00, 60.00, 60.00 degrees
Last column: nearest neighbours and their distance in Å.
Sites, in units of the cell vectors:
Tb1 0.0000 0.0000 0.0000  4 Ga 3.14, 4 Au 3.14
Ca1 0.5000 0.5000 0.5000  4 Au 3.14, 4 Ga 3.14
Au1 0.7500 0.7500 0.7500  4 Tb 3.14, 4 Ca 3.14
Ga1 0.2500 0.2500 0.2500  4 Tb 3.14, 4 Ca 3.14

Q) A plane-wave DFT calculation with PBE was carried out for a geometry-optimized CaTbGaAu structure.

Calculated values
SG = Amm2, No. 38

Cell lengths 3.8255, 4.6444, 5.9079 Å; angles 90.00, 108.89, 90.00 degrees
Last column: nearest neighbours and their distance in Å.
Sites, in units of the cell vectors:
Ca1 0.1451 0.0000 0.2903  3 Ga 3.08-3.16, 4 Au 3.11
Tb1 0.8605 0.5000 0.7211  3 Au 3.06-3.20, 4 Ga 3.08
Ga1 0.4202 0.0000 0.8405  2 Au 2.89, 3 Ca 3.08-3.16, 4 Tb 3.08
Au1 0.5741 0.5000 0.1482  2 Ga 2.89, 3 Tb 3.06-3.20, 4 Ca 3.11

According to the calculations, the structures order from most to least stable as Q), P).

P) A plane-wave DFT calculation with PBE was carried out for a geometry-optimized CaZnGaAu2 structure.

Calculated values
SG = I-4m2, No. 119

Cell lengths 4.1077, 4.1077, 6.8172 Å; angles 107.53, 107.53, 90.00 degrees
Last column: nearest neighbours and their distance in Å.
Sites, in units of the cell vectors:
Ca1 0.0000 0.0000 0.0000  8 Au 3.22
Zn1 0.7500 0.2500 0.5000  4 Au 2.66, 4 Ga 2.90
Ga1 0.2500 0.7500 0.5000  4 Au 2.66, 4 Zn 2.90
Au1 0.6124 0.6124 0.2249  2 Ga 2.66, 2 Zn 2.66, 1 Au 2.77
Au2 0.3876 0.3876 0.7751  2 Zn 2.66, 2 Ga 2.66, 1 Au 2.77

Q) A plane-wave DFT calculation with PBE was carried out for a geometry-optimized CaZnGaAu2 structure.

Calculated values
SG = P4/mmm, No. 123

Cell lengths 4.9028, 5.6055, 4.9028 Å; angles 90.00, 90.00, 90.00 degrees
Last column: nearest neighbours and their distance in Å.
Sites, in units of the cell vectors:
Zn1 0.5000 0.5000 0.5000  4 Ca 3.47, 8 Au 3.72
Au1 0.0000 0.0000 0.5000  2 Ga 2.45
Au2 0.5000 0.0000 0.0000  2 Ga 2.45
Ca1 0.0000 0.5000 0.0000  2 Ga 2.80
Ga1 0.0000 0.0000 0.0000  4 Au 2.45

According to the calculations, the structures order from most to least stable as P), Q).

P) A plane-wave DFT calculation with PBE was carried out for a geometry-optimized CaGe2Au6 structure.

Calculated values
SG = P6/mmm, No. 191

Cell lengths 5.7133, 5.7133, 7.1793 Å; angles 90.00, 90.00, 120.00 degrees
Last column: nearest neighbours and their distance in Å.
Sites, in units of the cell vectors:
Ca1 0.0000 0.0000 0.0000  12 Au 3.19
Ge1 0.3333 0.6667 0.5000  6 Au 2.73
Ge2 0.6667 0.3333 0.5000  6 Au 2.73
Au1 0.5001 0.0000 0.1974  2 Ge 2.73, 5 Au 2.83-2.86
Au2 0.4999 0.4999 0.1974  2 Ge 2.73, 5 Au 2.83-2.86
Au3 0.0000 0.5001 0.1974  2 Ge 2.73, 5 Au 2.83-2.86
Au4 0.5001 0.5001 0.8026  2 Ge 2.73, 5 Au 2.83-2.86
Au5 0.0000 0.4999 0.8026  2 Ge 2.73, 5 Au 2.83-2.86
Au6 0.4999 0.0000 0.8026  2 Ge 2.73, 5 Au 2.83-2.86

Q) A plane-wave DFT calculation with PBE was carried out for a geometry-optimized CaGe2Au6 structure.

Calculated values
SG = P4/mmm, No. 123

Cell lengths 4.5613, 4.5613, 8.6027 Å; angles 90.00, 90.00, 90.00 degrees
Last column: nearest neighbours and their distance in Å.
Sites, in units of the cell vectors:
Ca1 0.0000 0.0000 0.0000  8 Au 3.34, 8 Ge 3.46
Ge1 0.5000 0.5000 0.1442  1 Ge 2.48, 4 Au 2.58
Ge2 0.5000 0.5000 0.8558  1 Ge 2.48, 4 Au 2.58
Au1 0.0000 0.5000 0.2835  2 Ge 2.58
Au2 0.5000 0.0000 0.2835  2 Ge 2.58
Au3 0.0000 0.5000 0.7165  2 Ge 2.58
Au4 0.5000 0.0000 0.7165  2 Ge 2.58
Au5 0.5000 0.5000 0.5000  12 Au 2.94-3.23, 2 Ge 3.06
Au6 0.0000 0.0000 0.5000  12 Au 2.94-3.23

According to the calculations, the structures order from most to least stable as Q), P).

P) A plane-wave DFT calculation with PBE was carried out for a geometry-optimized CaGe2Au8 structure.

Calculated values
SG = C2/m, No. 12

Cell lengths 4.1059, 6.9332, 7.9263 Å; angles 105.49, 105.01, 90.00 degrees
Last column: nearest neighbours and their distance in Å.
Sites, in units of the cell vectors:
Ca1 0.5000 0.0000 0.0000  12 Au 3.01-3.10
Ge1 0.2162 0.6538 0.4324  10 Au 2.83-3.13
Ge2 0.7838 0.3462 0.5676  10 Au 2.83-3.13
Au1 0.5984 0.4555 0.1968  3 Ge 2.83-3.13, 7 Au 2.94-3.04, 1 Ca 3.10
Au2 0.3189 0.0931 0.6378  3 Ge 2.85-3.02, 8 Au 2.96-3.03, 1 Ca 3.02
Au3 0.1434 0.1941 0.2867  7 Au 2.94-3.23, 3 Ge 2.95-3.07, 2 Ca 3.03
Au4 0.0411 0.7195 0.0822  1 Ge 2.84, 8 Au 2.95-3.04, 2 Ca 3.01
Au5 0.8566 0.8059 0.7133  7 Au 2.94-3.23, 3 Ge 2.95-3.07, 2 Ca 3.03
Au6 0.6811 0.9069 0.3622  3 Ge 2.85-3.02, 8 Au 2.96-3.03, 1 Ca 3.02
Au7 0.4016 0.5445 0.8032  3 Ge 2.83-3.13, 7 Au 2.94-3.04, 1 Ca 3.10
Au8 0.9589 0.2805 0.9178  1 Ge 2.84, 8 Au 2.95-3.04, 2 Ca 3.01

Q) A plane-wave DFT calculation with PBE was carried out for a geometry-optimized CaGe2Au8 structure.

Calculated values
SG = P4/mmm, No. 123

Cell lengths 5.6065, 5.6065, 8.4924 Å; angles 90.00, 90.00, 90.00 degrees
Last column: nearest neighbours and their distance in Å.
Sites, in units of the cell vectors:
Ca1 0.5000 0.5000 0.5000  8 Au 3.08
Ge1 0.5000 0.0000 0.0000  8 Au 2.74
Ge2 0.0000 0.5000 0.0000  8 Au 2.74
Au1 0.7523 0.7523 0.2235  2 Ge 2.74, 4 Au 2.78-2.83
Au2 0.7523 0.2477 0.7765  2 Ge 2.74, 4 Au 2.78-2.83
Au3 0.7523 0.7523 0.7765  2 Ge 2.74, 4 Au 2.78-2.83
Au4 0.7523 0.2477 0.2235  2 Ge 2.74, 4 Au 2.78-2.83
Au5 0.2477 0.7523 0.2235  2 Ge 2.74, 4 Au 2.78-2.83
Au6 0.2477 0.7523 0.7765  2 Ge 2.74, 4 Au 2.78-2.83
Au7 0.2477 0.2477 0.2235  2 Ge 2.74, 4 Au 2.78-2.83
Au8 0.2477 0.2477 0.7765  2 Ge 2.74, 4 Au 2.78-2.83

According to the calculations, the structures order from most to least stable as P), Q).

P) A plane-wave DFT calculation with PBE was carried out for a geometry-optimized CaGe2Au4 structure.

Calculated values
SG = Pnma, No. 62

Cell lengths 4.7121, 6.7039, 17.9066 Å; angles 90.00, 90.00, 90.00 degrees
Last column: nearest neighbours and their distance in Å.
Sites, in units of the cell vectors:
Ca1 0.7500 0.9744 0.6378  10 Au 3.17-3.54, 6 Ge 3.25-3.44
Ca2 0.2500 0.0256 0.3622  10 Au 3.17-3.54, 6 Ge 3.25-3.44
Ca3 0.2500 0.4744 0.8622  10 Au 3.17-3.54, 6 Ge 3.25-3.44
Ca4 0.7500 0.5256 0.1378  10 Au 3.17-3.54, 6 Ge 3.25-3.44
Au1 0.2500 0.2419 0.7003  3 Ge 2.52-2.69
Au2 0.7500 0.7581 0.2997  3 Ge 2.52-2.69
Au3 0.7500 0.7419 0.7997  3 Ge 2.52-2.69
Au4 0.2500 0.2581 0.2003  3 Ge 2.52-2.69
Au5 0.2500 0.6548 0.6639  2 Ge 2.56-2.72, 1 Au 2.84
Au6 0.7500 0.3452 0.3361  2 Ge 2.56-2.72, 1 Au 2.84
Au7 0.7500 0.1548 0.8361  2 Ge 2.56-2.72, 1 Au 2.84
Au8 0.2500 0.8452 0.1639  2 Ge 2.56-2.72, 1 Au 2.84
Au9 0.2500 0.2127 0.5347  3 Ge 2.64-2.77, 1 Au 2.94
Au10 0.7500 0.7873 0.4653  3 Ge 2.64-2.77, 1 Au 2.94
Au11 0.7500 0.7127 0.9653  3 Ge 2.64-2.77, 1 Au 2.94
Au12 0.2500 0.2873 0.0347  3 Ge 2.64-2.77, 1 Au 2.94
Au13 0.2500 0.5298 0.4215  2 Ge 2.60-2.67
Au14 0.7500 0.4702 0.5785  2 Ge 2.60-2.67
Au15 0.7500 0.0298 0.0785  2 Ge 2.60-2.67
Au16 0.2500 0.9702 0.9215  2 Ge 2.60-2.67
Ge1 0.2500 0.7996 0.5313  5 Au 2.56-2.77
Ge2 0.7500 0.2004 0.4687  5 Au 2.56-2.77
Ge3 0.7500 0.2996 0.9687  5 Au 2.56-2.77
Ge4 0.2500 0.7004 0.0313  5 Au 2.56-2.77
Ge5 0.2500 0.9265 0.7770  5 Au 2.52-2.72
Ge6 0.7500 0.0735 0.2230  5 Au 2.52-2.72
Ge7 0.7500 0.4265 0.7230  5 Au 2.52-2.72
Ge8 0.2500 0.5735 0.2770  5 Au 2.52-2.72

Q) A plane-wave DFT calculation with PBE was carried out for a geometry-optimized CaGe2Au4 structure.

Calculated values
SG = C2/m, No. 12

Cell lengths 4.8961, 6.7026, 4.8961 Å; angles 103.13, 104.58, 76.87 degrees
Last column: nearest neighbours and their distance in Å.
Sites, in units of the cell vectors:
Ca1 0.0000 0.0000 0.0000  8 Au 3.22-3.25, 4 Ge 3.26
Ge1 0.5462 0.7985 0.4538  4 Au 2.57-2.59, 1 Ge 2.59
Ge2 0.4538 0.2015 0.5462  4 Au 2.57-2.59, 1 Ge 2.59
Au1 0.5869 0.6715 0.9230  2 Ge 2.57-2.59
Au2 0.4131 0.3285 0.0770  2 Ge 2.57-2.59
Au3 0.9230 0.3285 0.5869  2 Ge 2.57-2.59
Au4 0.0770 0.6715 0.4131  2 Ge 2.57-2.59

According to the calculations, the structures order from most to least stable as Q), P).

P) A plane-wave DFT calculation with PBE was carried out for a geometry-optimized LiCaGeAu structure.

Calculated values
SG = F-43m, No. 216

Cell lengths 4.7583, 4.7583, 4.7583 Å; angles 60.00, 60.00, 60.00 degrees
Last column: nearest neighbours and their distance in Å.
Sites, in units of the cell vectors:
Ge1 0.2500 0.2500 0.2500  4 Li 2.91, 4 Au 2.91
Au1 0.5000 0.5000 0.5000  4 Ge 2.91, 4 Ca 2.91
Ca1 0.7500 0.7500 0.7500  4 Li 2.91, 4 Au 2.91
Li1 0.0000 0.0000 0.0000  4 Ca 2.91, 4 Ge 2.91

Q) A plane-wave DFT calculation with PBE was carried out for a geometry-optimized LiCaGeAu structure.

Calculated values
SG = Cm, No. 8

Cell lengths 4.5122, 4.5153, 5.4287 Å; angles 65.52, 90.00, 119.98 degrees
Last column: nearest neighbours and their distance in Å.
Sites, in units of the cell vectors:
Li1 0.3092 0.6184 0.0580  3 Au 2.73, 3 Ge 2.86-2.87, 1 Ca 2.87
Ca1 0.1089 0.2179 0.6596  1 Li 2.87, 4 Ge 3.08-3.10
Ge1 0.8931 0.7862 0.3063  3 Au 2.63, 3 Li 2.86-2.87
Au1 0.5847 0.1693 0.2317  3 Ge 2.63, 3 Li 2.73

According to the calculations, the structures order from most to least stable as Q), P).